(1)
Compound: KLaDyFeO6
Source: Alexandria
Functional: PBE+U
Structure: optimized geometry

The structure in extended XYZ format:
```
10
Lattice="0.000 4.056 4.056 4.056 0.000 4.056 4.056 4.056 0.000" Properties=species:S:1:pos:R:3 pbc="T T T"
K 0.000 0.000 0.000
La 4.056 4.056 4.056
Dy 2.028 2.028 2.028
Fe 6.084 6.084 6.084
O 6.084 6.084 4.210
O 6.084 4.210 6.084
O 7.959 6.084 6.084
O 4.210 6.084 6.084
O 6.084 7.959 6.084
O 6.084 6.084 7.959
```

SG: F-43m (216)

---

(2)
Compound: KDyFeO3
Source: Alexandria
Functional: PBE+U
Structure: optimized geometry

The structure in extended XYZ format:
```
12
Lattice="7.314 0.000 0.000 0.000 3.633 0.000 -3.473 0.000 8.777" Properties=species:S:1:pos:R:3 pbc="T T T"
K 0.859 0.908 1.445
K 2.982 2.725 7.333
Dy -0.623 2.725 7.577
Dy 4.464 0.908 1.200
Fe -1.994 0.908 5.485
Fe 5.835 2.725 3.293
O -1.471 2.725 5.357
O -2.125 0.908 7.461
O 3.002 2.725 1.019
O 0.838 0.908 7.759
O 5.966 2.725 1.317
O 5.312 0.908 3.420
```

SG: P2_1/m (11)

---

no.,D(E_F) (states/eV per cell),E (eV/cell)
1,0.6,-67.79
2,0.0,-76.21